Density functional theory data (PBE-GGA) for an optimized crystal structure of Pu2MgAs3Rh4.

abc: 4.035 4.035 11.178
angles: 90.00 90.00 90.00
Element x y z (fractional)
Pu 0.000 0.500 0.246
Pu 0.500 0.000 0.754
Mg 0.000 0.000 0.500
As 0.000 0.500 0.869
As 0.500 0.000 0.131
As 0.500 0.500 0.500
Rh 0.000 0.000 0.000
Rh 0.000 0.500 0.653
Rh 0.500 0.000 0.347
Rh 0.500 0.500 0.000

Results
Energy of formation from the pure elements   -0.70 eV per atom

Density functional theory data (PBE-GGA) for an optimized crystal structure of Pu2MgUAs4.

abc: 7.039 4.127 7.047
angles: 90.00 109.93 90.00
Element x y z (fractional)
Pu 0.000 0.000 0.000
Pu 0.500 0.500 0.000
Mg 0.000 0.500 0.500
U 0.500 0.000 0.500
As 0.249 0.000 0.743
As 0.253 0.500 0.256
As 0.747 0.500 0.744
As 0.751 0.000 0.257

Results
Energy of formation from the pure elements   -0.80 eV per atom

Density functional theory data (PBE-GGA) for an optimized crystal structure of RbMgAs2.

abc: 5.226 5.226 5.226
angles: 60.00 60.00 60.00
Element x y z (fractional)
Rb 0.000 0.000 0.000
Mg 0.500 0.500 0.500
As 0.250 0.250 0.250
As 0.750 0.750 0.750

Results
Energy of formation from the pure elements   0.11 eV per atom
Energy relative to the lowest polymorph listed for this composition   382 meV per atom

Density functional theory data (PBE-GGA) for an optimized crystal structure of RbMgAs3.

abc: 5.180 5.180 5.180
angles: 90.00 90.00 90.00
Element x y z (fractional)
Rb 0.000 0.000 0.000
Mg 0.500 0.500 0.500
As 0.000 0.500 0.500
As 0.500 0.000 0.500
As 0.500 0.500 0.000

Results
Energy of formation from the pure elements   0.20 eV per atom
Energy relative to the lowest polymorph listed for this composition   0 meV per atom

Density functional theory data (PBE-GGA) for an optimized crystal structure of RbMgAs3.

abc: 5.581 5.581 5.581
angles: 90.00 90.00 90.00
Element x y z (fractional)
Rb 0.000 0.000 0.000
Mg 0.500 0.500 0.500
As 0.000 0.000 0.500
As 0.000 0.500 0.000
As 0.500 0.000 0.000

Results
Energy of formation from the pure elements   1.50 eV per atom
Energy relative to the lowest polymorph listed for this composition   1300 meV per atom

Density functional theory data (PBE-GGA) for an optimized crystal structure of RbMgAs2.

abc: 9.562 9.562 9.562
angles: 146.59 146.59 47.96
Element x y z (fractional)
Rb 0.000 0.000 0.000
Rb 0.750 0.250 0.500
Mg 0.250 0.750 0.500
Mg 0.500 0.500 0.000
As 0.330 0.625 0.205
As 0.375 0.580 0.705
As 0.420 0.125 0.795
As 0.875 0.670 0.295

Results
Energy of formation from the pure elements   -0.27 eV per atom
Energy relative to the lowest polymorph listed for this composition   0 meV per atom

Density functional theory data (PBE-GGA) for an optimized crystal structure of RbMgAsRh2.

abc: 4.766 4.766 5.292
angles: 90.00 90.00 90.00
Element x y z (fractional)
Rb 0.000 0.000 0.000
Mg 0.000 0.000 0.500
As 0.500 0.500 0.000
Rh 0.000 0.500 0.500
Rh 0.500 0.000 0.500

Results
Energy of formation from the pure elements   1.10 eV per atom

Density functional theory data (PBE-GGA) for an optimized crystal structure of RbMg2AsRu.

abc: 5.377 5.377 4.711
angles: 90.00 90.00 90.00
Element x y z (fractional)
Rb 0.000 0.000 0.000
Mg 0.000 0.500 0.500
Mg 0.500 0.000 0.500
As 0.500 0.500 0.500
Ru 0.500 0.500 0.000

Results
Energy of formation from the pure elements   0.39 eV per atom

Density functional theory data (PBE-GGA) for an optimized crystal structure of Rb2MgAsRu.

abc: 6.550 6.550 4.940
angles: 90.00 90.00 90.00
Element x y z (fractional)
Rb 0.000 0.500 0.000
Rb 0.500 0.000 0.000
Mg 0.000 0.000 0.000
As 0.500 0.500 0.500
Ru 0.000 0.000 0.500

Results
Energy of formation from the pure elements   1.08 eV per atom

Density functional theory data (PBE-GGA) for an optimized crystal structure of Rb2MgAsS4.

abc: 13.972 12.455 7.653
angles: 84.43 62.53 33.03
Element x y z (fractional)
Rb 0.055 0.055 0.695
Rb 0.305 0.305 0.945
Rb 0.695 0.695 0.055
Rb 0.945 0.945 0.305
Mg 0.125 0.125 0.125
Mg 0.875 0.875 0.875
As 0.375 0.375 0.375
As 0.625 0.625 0.625
S 0.010 0.342 0.435
S 0.287 0.565 0.658
S 0.342 0.010 0.713
S 0.435 0.713 0.010
S 0.565 0.287 0.990
S 0.658 0.990 0.287
S 0.713 0.435 0.342
S 0.990 0.658 0.565

Results
E_form (uncorrected)   -0.8154 eV per atom

Density functional theory data (PBE-GGA) for an optimized crystal structure of Rb2MgAsS.

abc: 6.831 6.831 4.632
angles: 90.00 90.00 90.00
Element x y z (fractional)
Rb 0.000 0.500 0.000
Rb 0.500 0.000 0.000
Mg 0.000 0.000 0.000
As 0.000 0.000 0.500
S 0.500 0.500 0.500

Results
E_form (uncorrected)   -0.0118 eV per atom

Density functional theory data (PBE-GGA) for an optimized crystal structure of RbMg4SbAs2.

abc: 4.570 4.570 11.031
angles: 90.00 90.00 90.00
Element x y z (fractional)
Rb 0.000 0.000 0.000
Mg 0.000 0.500 0.330
Mg 0.000 0.500 0.670
Mg 0.500 0.000 0.330
Mg 0.500 0.000 0.670
Sb 0.000 0.000 0.500
As 0.500 0.500 0.206
As 0.500 0.500 0.794

Results
E_form (uncorrected)   -0.5756 eV per atom